1.
Entry from Alexandria via LeMat-Bulk: a geometry-optimized Hf2NpSc structure (GGA-PBE). Values from VASP.

```
&SYSTEM
  ibrav = 0, nat = 4, ntyp = 3
/
ATOMIC_SPECIES
Hf 178.49 Hf.upf
Np 237.00 Np.upf
Sc 44.96 Sc.upf
CELL_PARAMETERS angstrom
3.6965 0.0000 0.0000
0.0000 3.6965 0.0000
0.0000 0.0000 6.6946
ATOMIC_POSITIONS angstrom
Hf 0.0000 0.0000 1.5276
Hf 0.0000 0.0000 5.1669
Np 1.8482 1.8482 0.0000
Sc 1.8482 1.8482 3.3473
```

- V (A^3/atom) = 22.87
- total magnetization (μB per formula unit) = 3.9
- space-group type = No. 123
- final energy (eV per atom) = -9.456

2.
Entry from Alexandria via LeMat-Bulk: a geometry-optimized HfNpSe4 structure (GGA-PBE). Values from VASP.

```
&SYSTEM
  ibrav = 0, nat = 12, ntyp = 3
/
ATOMIC_SPECIES
Hf 178.49 Hf.upf
Np 237.00 Np.upf
Se 78.96 Se.upf
CELL_PARAMETERS angstrom
7.8255 0.0000 0.0000
0.0000 6.2774 0.0000
-3.5300 0.0000 6.8461
ATOMIC_POSITIONS angstrom
Hf 0.0000 0.0000 0.0000
Hf -1.7650 3.1387 3.4230
Np 2.1477 0.0000 3.4230
Np 3.9127 3.1387 0.0000
Se 0.0966 1.5133 2.1896
Se -1.6684 1.6254 5.6127
Se 0.1362 4.6003 4.4833
Se 1.9012 4.8158 1.0602
Se 2.3942 1.4616 5.7859
Se 4.1592 1.6771 2.3628
Se 5.9638 4.6520 1.2334
Se 4.1988 4.7641 4.6564
```

- V (A^3/atom) = 28.03
- offset from the most stable computed form (meV per atom) = 123
- total magnetization (μB per formula unit) = 3.0
- space-group type = No. 14
- uncorrected formation energy (eV per atom) = -1.06

3.
Entry from Alexandria via LeMat-Bulk: a geometry-optimized HfNpSe4 structure (GGA-PBE). Values from VASP.

```
&SYSTEM
  ibrav = 0, nat = 12, ntyp = 3
/
ATOMIC_SPECIES
Hf 178.49 Hf.upf
Np 237.00 Np.upf
Se 78.96 Se.upf
CELL_PARAMETERS angstrom
-3.8060 4.1642 5.5798
3.8060 -4.1642 5.5798
3.8060 4.1642 -5.5798
ATOMIC_POSITIONS angstrom
Hf -1.9030 2.0821 2.7899
Hf 1.9030 2.0821 2.7899
Np 0.0000 0.0000 0.0000
Np 0.0000 4.1642 0.0000
Se 1.9015 2.0821 0.1060
Se 1.9045 -2.0821 5.6858
Se 3.8060 0.1803 2.7635
Se 0.0000 0.1803 2.8163
Se 3.8060 3.9839 2.7635
Se 0.0000 3.9839 2.8163
Se 1.9015 6.2462 -0.1060
Se 1.9045 2.0821 5.4738
```

- V (A^3/atom) = 29.48
- offset from the most stable computed form (meV per atom) = 0
- total magnetization (μB per formula unit) = 3.0
- space-group type = No. 74
- uncorrected formation energy (eV per atom) = -1.18

4.
Entry from Alexandria via LeMat-Bulk: a geometry-optimized Hf2NpSe structure (GGA-PBE). Values from VASP.

```
&SYSTEM
  ibrav = 0, nat = 4, ntyp = 3
/
ATOMIC_SPECIES
Hf 178.49 Hf.upf
Np 237.00 Np.upf
Se 78.96 Se.upf
CELL_PARAMETERS angstrom
1.6089 0.9289 10.0565
-1.6089 0.9289 10.0565
0.0000 -1.8578 10.0565
ATOMIC_POSITIONS angstrom
Hf 0.0000 0.0000 3.0206
Hf 0.0000 0.0000 27.1487
Np 0.0000 0.0000 0.0000
Se 0.0000 0.0000 15.0847
```

- V (A^3/atom) = 22.54
- total magnetization (μB per formula unit) = 4.1
- space-group type = No. 166
- uncorrected formation energy (eV per atom) = 0.11